Here is a relaxed Li3MgV8O16 crystal from Alexandria. Energies are from GGA+U.

```
data_Li3MgV8O16
_space_group_name_H-M_alt 'C 1 m 1'
_space_group_IT_number 8
_cell_length_a 10.349
_cell_length_b 6.045
_cell_length_c 10.320
_cell_angle_alpha 90.00
_cell_angle_beta 108.19
_cell_angle_gamma 90.00
loop_
_space_group_symop_operation_xyz
'x,y,z'
'x,-y,z'
'x+1/2,y+1/2,z'
'x+1/2,-y+1/2,z'
loop_
_atom_site_label
_atom_site_fract_x
_atom_site_fract_y
_atom_site_fract_z
Li1 0.000 0.000 0.000
Li2 0.001 0.500 0.507
Li3 0.128 0.500 0.880
Mg1 0.312 0.500 0.441
V1 0.062 0.000 0.693
V2 0.066 0.500 0.188
V3 0.127 0.000 0.375
V4 0.315 0.257 0.692
V5 0.317 0.000 0.944
V6 0.317 0.250 0.186
O1 0.194 0.264 0.311
O2 0.198 0.000 0.577
O3 0.198 0.224 0.806
O4 0.201 0.500 0.083
O5 0.206 0.000 0.057
O6 0.207 0.500 0.585
O7 0.416 0.000 0.810
O8 0.422 0.500 0.801
O9 0.430 0.500 0.311
O10 0.431 0.000 0.295
O11 0.431 0.267 0.584
O12 0.436 0.221 0.063
```

Output
- energy (eV/atom) = -7.346